*1*
DFT (PBE+U) results for a relaxed CrP2HO crystal.

M_tot (μB per cell): 0.00
DOS(E_F) (states/eV per cell): 3.06
V (Å³ per atom): 14.4

a b c (Å): 4.531 4.531 3.511
angles (deg): 90.00 90.00 90.00
Fractional coordinates of all 5 atoms:
1 Cr 0.000 0.000 0.000
2 P 0.000 0.500 0.000
3 P 0.500 0.000 0.000
4 H 0.500 0.500 0.500
5 O 0.000 0.000 0.500


*2*
DFT (PBE+U) results for a relaxed CrP2HO crystal.

M_tot (μB per cell): 3.51
DOS(E_F) (states/eV per cell): 1.99
V (Å³ per atom): 12.5

a b c (Å): 3.300 3.300 5.742
angles (deg): 90.00 90.00 90.00
Fractional coordinates of all 5 atoms:
1 Cr 0.000 0.000 0.000
2 P 0.000 0.500 0.500
3 P 0.500 0.000 0.500
4 H 0.500 0.500 0.500
5 O 0.500 0.500 0.000


Name the most stable of them. *2*.